No. 1
Material: SiAsW
Method: DFT, GGA-PBEsol
State: optimized geometry

Output
V = 16.9 A^3/atom
ΔE_f (raw) = 74 kJ per mole of atoms

Lattice parameters (Å, degrees): 5.876 5.876 5.876 90.00 90.00 90.00
Element x y z (fractional)
Si  0.000  0.000  0.000
Si  0.000  0.500  0.500
Si  0.500  0.000  0.500
Si  0.500  0.500  0.000
As  0.250  0.250  0.750
As  0.250  0.750  0.250
As  0.750  0.250  0.250
As  0.750  0.750  0.750
W  0.250  0.250  0.250
W  0.250  0.750  0.750
W  0.750  0.250  0.750
W  0.750  0.750  0.250

No. 2
Material: ZnTe2NF
Method: DFT, GGA-PBEsol
State: optimized geometry

Output
V = 19.7 A^3/atom
ΔE_f (raw) = 59 kJ per mole of atoms

Lattice parameters (Å, degrees): 5.275 5.275 3.541 90.00 90.00 90.00
Element x y z (fractional)
Zn  0.000  0.000  0.000
Te  0.000  0.500  0.000
Te  0.500  0.000  0.000
N  0.000  0.000  0.500
F  0.500  0.500  0.500

No. 3
Material: Zr5NiSb9
Method: DFT, GGA-PBEsol
State: optimized geometry

Output
V = 22.3 A^3/atom
ΔE_f (raw) = -61 kJ per mole of atoms

Lattice parameters (Å, degrees): 8.772 8.772 8.711 90.00 90.00 90.00
Element x y z (fractional)
Zr  0.047  0.853  0.235
Zr  0.147  0.547  0.765
Zr  0.250  0.250  0.245
Zr  0.353  0.953  0.765
Zr  0.453  0.647  0.235
Zr  0.547  0.353  0.765
Zr  0.647  0.047  0.235
Zr  0.750  0.750  0.755
Zr  0.853  0.453  0.235
Zr  0.953  0.147  0.765
Ni  0.250  0.750  0.500
Ni  0.750  0.250  0.500
Sb  0.024  0.334  0.499
Sb  0.051  0.848  0.884
Sb  0.152  0.551  0.116
Sb  0.166  0.024  0.499
Sb  0.250  0.250  0.893
Sb  0.334  0.476  0.499
Sb  0.348  0.949  0.116
Sb  0.449  0.652  0.884
Sb  0.476  0.166  0.499
Sb  0.524  0.834  0.501
Sb  0.551  0.348  0.116
Sb  0.652  0.051  0.884
Sb  0.666  0.524  0.501
Sb  0.750  0.750  0.107
Sb  0.834  0.976  0.501
Sb  0.848  0.449  0.884
Sb  0.949  0.152  0.116
Sb  0.976  0.666  0.501

No. 4
Material: BOsO3
Method: DFT, GGA-PBEsol
State: optimized geometry

Output
V = 11.1 A^3/atom
ΔE_f (raw) = 21 kJ per mole of atoms

Lattice parameters (Å, degrees): 3.814 3.814 3.814 90.00 90.00 90.00
Element x y z (fractional)
B  0.000  0.000  0.000
Os  0.500  0.500  0.500
O  0.000  0.500  0.500
O  0.500  0.000  0.500
O  0.500  0.500  0.000

No. 5
Material: Co2HgTe2
Method: DFT, GGA-PBEsol
State: optimized geometry

Output
V = 21.6 A^3/atom
ΔE_f (raw) = -5 kJ per mole of atoms

Lattice parameters (Å, degrees): 3.666 3.666 16.036 90.00 90.00 90.00
Element x y z (fractional)
Co  0.000  0.500  0.250
Co  0.000  0.500  0.750
Co  0.500  0.000  0.250
Co  0.500  0.000  0.750
Hg  0.000  0.000  0.000
Hg  0.500  0.500  0.500
Te  0.000  0.000  0.352
Te  0.000  0.000  0.648
Te  0.500  0.500  0.148
Te  0.500  0.500  0.852

No. 6
Material: YMn2Al
Method: DFT, GGA-PBEsol
State: optimized geometry

Output
V = 16.6 A^3/atom
Formation energy = 0.187 eV/atom

Lattice parameters (Å, degrees): 3.954 3.954 8.498 90.00 90.00 90.00
Element x y z (fractional)
Y  0.000  0.000  0.000
Y  0.500  0.500  0.500
Mn  0.000  0.000  0.500
Mn  0.000  0.500  0.250
Mn  0.500  0.000  0.750
Mn  0.500  0.500  0.000
Al  0.000  0.500  0.750
Al  0.500  0.000  0.250

No. 7
Material: Ni2BiTe2
Method: DFT, GGA-PBEsol
State: optimized geometry

Output
V = 20.5 A^3/atom
ΔE_f (raw) = 23 kJ per mole of atoms

Lattice parameters (Å, degrees): 4.340 4.340 10.860 90.00 90.00 90.00
Element x y z (fractional)
Ni  0.000  0.000  0.114
Ni  0.000  0.000  0.886
Ni  0.500  0.500  0.386
Ni  0.500  0.500  0.614
Bi  0.000  0.000  0.500
Bi  0.500  0.500  0.000
Te  0.000  0.500  0.250
Te  0.000  0.500  0.750
Te  0.500  0.000  0.250
Te  0.500  0.000  0.750

No. 8
Material: Sc2ReHg
Method: DFT, GGA-PBEsol
State: optimized geometry

Output
V = 19.1 A^3/atom
Formation energy = 0.241 eV/atom

Lattice parameters (Å, degrees): 3.466 4.639 9.502 90.00 90.00 90.00
Element x y z (fractional)
Sc  0.000  0.000  0.000
Sc  0.000  0.500  0.292
Sc  0.500  0.000  0.292
Sc  0.500  0.500  0.000
Re  0.000  0.500  0.782
Re  0.500  0.000  0.782
Hg  0.000  0.000  0.542
Hg  0.500  0.500  0.542

No. 9
Material: Mo2WAu
Method: DFT, GGA-PBEsol
State: optimized geometry

Output
V = 15.6 A^3/atom
Formation energy = 0.247 eV/atom

Lattice parameters (Å, degrees): 3.989 3.989 7.829 90.00 90.00 90.00
Element x y z (fractional)
Mo  0.000  0.000  0.000
Mo  0.000  0.500  0.250
Mo  0.500  0.000  0.750
Mo  0.500  0.500  0.500
W  0.000  0.000  0.500
W  0.500  0.500  0.000
Au  0.000  0.500  0.750
Au  0.500  0.000  0.250

No. 10
Material: ZrZn22
Method: DFT, GGA-PBEsol
State: optimized geometry

Output
V = 14.4 A^3/atom
Formation energy = -0.070 eV/atom

Lattice parameters (Å, degrees): 9.788 9.788 9.788 60.00 60.00 60.00
Element x y z (fractional)
Zr  0.125  0.125  0.125
Zr  0.875  0.875  0.875
Zn  0.000  0.000  0.000
Zn  0.000  0.000  0.500
Zn  0.000  0.500  0.000
Zn  0.000  0.500  0.500
Zn  0.057  0.319  0.319
Zn  0.057  0.319  0.804
Zn  0.057  0.804  0.319
Zn  0.196  0.681  0.681
Zn  0.196  0.681  0.943
Zn  0.196  0.943  0.681
Zn  0.235  0.235  0.515
Zn  0.235  0.515  0.235
Zn  0.235  0.515  0.515
Zn  0.319  0.057  0.319
Zn  0.319  0.057  0.804
Zn  0.319  0.319  0.057
Zn  0.319  0.319  0.804
Zn  0.319  0.804  0.057
Zn  0.319  0.804  0.319
Zn  0.485  0.485  0.765
Zn  0.485  0.765  0.485
Zn  0.485  0.765  0.765
Zn  0.500  0.000  0.000
Zn  0.500  0.000  0.500
Zn  0.500  0.500  0.000
Zn  0.500  0.500  0.500
Zn  0.515  0.235  0.235
Zn  0.515  0.235  0.515
Zn  0.515  0.515  0.235
Zn  0.681  0.196  0.681
Zn  0.681  0.196  0.943
Zn  0.681  0.681  0.196
Zn  0.681  0.681  0.943
Zn  0.681  0.943  0.196
Zn  0.681  0.943  0.681
Zn  0.765  0.485  0.485
Zn  0.765  0.485  0.765
Zn  0.765  0.765  0.485
Zn  0.804  0.057  0.319
Zn  0.804  0.319  0.057
Zn  0.804  0.319  0.319
Zn  0.943  0.196  0.681
Zn  0.943  0.681  0.196
Zn  0.943  0.681  0.681

No. 11
Material: Nd2Ni17
Method: DFT, GGA-PBEsol
State: optimized geometry

Output
V = 12.3 A^3/atom
Formation energy = -0.158 eV/atom

Lattice parameters (Å, degrees): 8.230 8.230 7.942 90.00 90.00 120.00
Element x y z (fractional)
Nd  0.000  0.000  0.250
Nd  0.000  0.000  0.750
Nd  0.333  0.667  0.250
Nd  0.667  0.333  0.750
Ni  0.000  0.500  0.000
Ni  0.000  0.500  0.500
Ni  0.046  0.375  0.750
Ni  0.046  0.672  0.750
Ni  0.167  0.333  0.020
Ni  0.167  0.333  0.480
Ni  0.167  0.833  0.020
Ni  0.167  0.833  0.480
Ni  0.328  0.375  0.750
Ni  0.328  0.954  0.750
Ni  0.333  0.167  0.520
Ni  0.333  0.167  0.980
Ni  0.333  0.667  0.603
Ni  0.333  0.667  0.897
Ni  0.375  0.046  0.250
Ni  0.375  0.328  0.250
Ni  0.500  0.000  0.000
Ni  0.500  0.000  0.500
Ni  0.500  0.500  0.000
Ni  0.500  0.500  0.500
Ni  0.625  0.672  0.750
Ni  0.625  0.954  0.750
Ni  0.667  0.333  0.103
Ni  0.667  0.333  0.397
Ni  0.667  0.833  0.020
Ni  0.667  0.833  0.480
Ni  0.672  0.046  0.250
Ni  0.672  0.625  0.250
Ni  0.833  0.167  0.520
Ni  0.833  0.167  0.980
Ni  0.833  0.667  0.520
Ni  0.833  0.667  0.980
Ni  0.954  0.328  0.250
Ni  0.954  0.625  0.250

No. 12
Material: LaNi2Br
Method: DFT, GGA-PBEsol
State: optimized geometry

Output
V = 20.6 A^3/atom
ΔE_f (raw) = -9 kJ per mole of atoms

Lattice parameters (Å, degrees): 3.738 3.738 5.890 90.00 90.00 90.00
Element x y z (fractional)
La  0.000  0.000  0.000
Ni  0.500  0.500  0.197
Ni  0.500  0.500  0.803
Br  0.000  0.000  0.500

No. 13
Material: YAu3
Method: DFT, GGA-PBEsol
State: optimized geometry

Output
V = 19.3 A^3/atom
Formation energy = -0.704 eV/atom

Lattice parameters (Å, degrees): 5.363 5.363 5.363 90.00 90.00 90.00
Element x y z (fractional)
Y  0.000  0.000  0.000
Y  0.500  0.500  0.500
Au  0.000  0.250  0.500
Au  0.000  0.750  0.500
Au  0.250  0.500  0.000
Au  0.500  0.000  0.250
Au  0.500  0.000  0.750
Au  0.750  0.500  0.000

No. 14
Material: YNi2Mo
Method: DFT, GGA-PBEsol
State: optimized geometry

Output
V = 15.6 A^3/atom
Formation energy = 0.030 eV/atom

Lattice parameters (Å, degrees): 3.161 4.109 4.893 90.00 100.88 90.00
Element x y z (fractional)
Y  0.000  0.000  0.000
Ni  0.402  0.000  0.522
Ni  0.432  0.500  0.830
Mo  0.749  0.500  0.421

No. 15
Material: ZnCu2Au
Method: DFT, GGA-PBEsol
State: optimized geometry

Output
V = 13.4 A^3/atom
Formation energy = -0.084 eV/atom

Lattice parameters (Å, degrees): 8.690 2.772 4.546 90.00 101.87 90.00
Element x y z (fractional)
Zn  0.000  0.000  0.000
Zn  0.500  0.500  0.000
Cu  0.247  0.500  0.240
Cu  0.490  0.000  0.469
Cu  0.747  0.000  0.240
Cu  0.990  0.500  0.469
Au  0.244  0.000  0.735
Au  0.744  0.500  0.735

No. 16
Material: Ni3Pb2SeS
Method: DFT, GGA-PBEsol
State: optimized geometry

Output
V = 17.7 A^3/atom
ΔE_f (raw) = -30 kJ per mole of atoms

Lattice parameters (Å, degrees): 5.620 5.620 5.620 59.33 59.33 59.33
Element x y z (fractional)
Ni  0.169  0.169  0.661
Ni  0.169  0.661  0.169
Ni  0.661  0.169  0.169
Pb  0.164  0.164  0.164
Pb  0.659  0.659  0.659
Se  0.884  0.884  0.884
S  0.439  0.439  0.439

No. 17
Material: Zn2PbW
Method: DFT, GGA-PBEsol
State: optimized geometry

Output
V = 16.6 A^3/atom
Formation energy = 0.503 eV/atom

Lattice parameters (Å, degrees): 3.873 3.873 8.836 90.00 90.00 90.00
Element x y z (fractional)
Zn  0.000  0.000  0.000
Zn  0.000  0.500  0.250
Zn  0.500  0.000  0.750
Zn  0.500  0.500  0.500
Pb  0.000  0.500  0.750
Pb  0.500  0.000  0.250
W  0.000  0.000  0.500
W  0.500  0.500  0.000

No. 18
Material: Tl2OsRu
Method: DFT, GGA-PBEsol
State: optimized geometry

Output
V = 18.5 A^3/atom
Formation energy = 0.670 eV/atom

Lattice parameters (Å, degrees): 2.964 2.964 29.120 90.00 90.00 120.00
Element x y z (fractional)
Tl  0.000  0.000  0.000
Tl  0.000  0.000  0.232
Tl  0.333  0.667  0.667
Tl  0.333  0.667  0.899
Tl  0.667  0.333  0.333
Tl  0.667  0.333  0.565
Os  0.000  0.000  0.751
Os  0.333  0.667  0.418
Os  0.667  0.333  0.084
Ru  0.000  0.000  0.484
Ru  0.333  0.667  0.150
Ru  0.667  0.333  0.817

No. 19
Material: NbIn3Cu
Method: DFT, GGA-PBEsol
State: optimized geometry

Output
V = 29.9 A^3/atom
Formation energy = 1.092 eV/atom

Lattice parameters (Å, degrees): 5.310 5.310 5.310 90.00 90.00 90.00
Element x y z (fractional)
Nb  0.000  0.000  0.000
In  0.000  0.000  0.500
In  0.000  0.500  0.000
In  0.500  0.000  0.000
Cu  0.500  0.500  0.500

No. 20
Material: BeCrP
Method: DFT, GGA-PBEsol
State: optimized geometry

Output
V = 10.3 A^3/atom
Formation energy = -0.013 eV/atom

Lattice parameters (Å, degrees): 3.715 3.715 2.595 90.00 90.00 120.00
Element x y z (fractional)
Be  0.000  0.000  0.000
Cr  0.333  0.667  0.557
P  0.667  0.333  0.818